No. 1
Here is a geometry-optimized Li2GeH6 structure from Alexandria. Energies are from PBE.

Results
Calculated density in g cm⁻³: 2.00
Polymorph energy (0 for the lowest one) in eV per atom: 0.0000

Cell lengths 4.299, 4.299, 8.302 Å; angles 90.00, 90.00, 90.00 degrees
Space group P4_2/mnm (No. 136)
One atom of each set of equivalent atoms:
Li  0.000  0.000  0.168 [4 per cell]
Ge  0.000  0.000  0.500 [2 per cell]
H  0.191  0.191  0.352 [8 per cell]
H  0.223  0.223  0.000 [4 per cell]

---

No. 2
Here is a geometry-optimized LiGeH structure from Alexandria. Energies are from PBE.

Results
Calculated density in g cm⁻³: 3.27
Polymorph energy (0 for the lowest one) in eV per atom: 0.0544
DOS at the Fermi energy in states/eV per cell: 0.144

Cell lengths 3.133, 4.349, 6.429 Å; angles 73.51, 79.85, 79.71 degrees
Space group P-1 (No. 2)
One atom of each set of equivalent atoms:
Li  0.000  0.000  0.000 [1 per cell]
Li  0.000  0.000  0.500 [1 per cell]
Ge  0.472  0.428  0.210 [2 per cell]
H  0.419  0.807  0.217 [2 per cell]

---

No. 3
Here is a geometry-optimized Li8Ge2H structure from Alexandria. Energies are from PBE.

Results
Calculated density in g cm⁻³: 1.98
DOS at the Fermi energy in states/eV per cell: 4.340
Uncorrected energy in eV per cell: -61.430

Cell lengths 15.506, 4.404, 4.983 Å; angles 90.00, 96.90, 90.00 degrees
Space group C2/m (No. 12)
One atom of each set of equivalent atoms:
Li  0.039  0.000  0.247 [4 per cell]
Li  0.079  0.500  0.785 [4 per cell]
Li  0.171  0.500  0.358 [4 per cell]
Li  0.239  0.000  0.168 [4 per cell]
Ge  0.155  0.000  0.669 [4 per cell]
H  0.000  0.500  0.000 [2 per cell]